No. 1
# PBE Mg7CdRh2, optimized geometry
# V = 25.3 A^3/atom
# magnetization = 0.00 Bohr magnetons per cell
# ΔE_f = -0.09 eV per atom
# uncorrected energy = -2.76 eV/atom
# crystal system = orthorhombic
data_Mg7CdRh2
_chemical_formula_sum 'Mg14 Cd2 Rh4'
_cell_length_a 7.9525
_cell_length_b 12.7517
_cell_length_c 4.9824
_cell_angle_alpha 90.00
_cell_angle_beta 90.00
_cell_angle_gamma 90.00
_symmetry_space_group_name_H-M 'C m m m'
_symmetry_Int_Tables_number 65
_symmetry_space_group_name_Hall '-C 2 2'
loop_
_atom_site_label
_atom_site_fract_x
_atom_site_fract_y
_atom_site_fract_z
_atom_site_occupancy
Mg1 0.0000 0.0000 0.0000 1
Mg2 0.0000 0.2014 0.5000 1
Mg3 0.1892 0.3657 0.0000 1
Cd1 0.0000 0.5000 0.5000 1
Rh1 0.0000 0.1992 0.0000 1

---

No. 2
# PBE Rb2CdCoPt, optimized geometry
# V = 37.4 A^3/atom
# magnetization = 2.08 Bohr magnetons per cell
# ΔE_f = 0.91 eV per atom
# uncorrected energy = -2.29 eV/atom
# crystal system = tetragonal
data_Rb2CdCoPt
_chemical_formula_sum 'Rb2 Cd1 Co1 Pt1'
_cell_length_a 6.0937
_cell_length_b 6.0937
_cell_length_c 5.0423
_cell_angle_alpha 90.00
_cell_angle_beta 90.00
_cell_angle_gamma 90.00
_symmetry_space_group_name_H-M 'P 4/m m m'
_symmetry_Int_Tables_number 123
_symmetry_space_group_name_Hall '-P 4 2'
loop_
_atom_site_label
_atom_site_fract_x
_atom_site_fract_y
_atom_site_fract_z
_atom_site_occupancy
Rb1 0.0000 0.5000 0.0000 1
Cd1 0.0000 0.0000 0.5000 1
Co1 0.0000 0.0000 0.0000 1
Pt1 0.5000 0.5000 0.5000 1

---

No. 3
# PBE Ba2Sr2Ga, optimized geometry
# V = 49.7 A^3/atom
# magnetization = 0.00 Bohr magnetons per cell
# ΔE_f = 0.33 eV per atom
# uncorrected energy = -1.72 eV/atom
# crystal system = tetragonal
data_Ba2Sr2Ga
_chemical_formula_sum 'Ba4 Sr4 Ga2'
_cell_length_a 4.7755
_cell_length_b 4.7755
_cell_length_c 21.7799
_cell_angle_alpha 90.00
_cell_angle_beta 90.00
_cell_angle_gamma 90.00
_symmetry_space_group_name_H-M 'I 4/m m m'
_symmetry_Int_Tables_number 139
_symmetry_space_group_name_Hall '-I 4 2'
loop_
_atom_site_label
_atom_site_fract_x
_atom_site_fract_y
_atom_site_fract_z
_atom_site_occupancy
Ba1 0.0000 0.5000 0.2500 1
Sr1 0.0000 0.0000 0.0831 1
Ga1 0.0000 0.0000 0.5000 1

---

No. 4
# PBE Tm2BAsRh6, optimized geometry
# V = 16.9 A^3/atom
# magnetization = 0.00 Bohr magnetons per cell
# ΔE_f = -0.57 eV per atom
# uncorrected energy = -7.00 eV/atom
# crystal system = tetragonal
data_Tm2BAsRh6
_chemical_formula_sum 'Tm2 B1 As1 Rh6'
_cell_length_a 4.4144
_cell_length_b 4.4144
_cell_length_c 8.6520
_cell_angle_alpha 90.00
_cell_angle_beta 90.00
_cell_angle_gamma 90.00
_symmetry_space_group_name_H-M 'P 4/m m m'
_symmetry_Int_Tables_number 123
_symmetry_space_group_name_Hall '-P 4 2'
loop_
_atom_site_label
_atom_site_fract_x
_atom_site_fract_y
_atom_site_fract_z
_atom_site_occupancy
Tm1 0.0000 0.0000 0.2340 1
B1 0.5000 0.5000 0.0000 1
As1 0.5000 0.5000 0.5000 1
Rh1 0.0000 0.5000 0.0000 1
Rh2 0.0000 0.5000 0.5000 1
Rh3 0.5000 0.5000 0.2308 1

---

No. 5
# PBE In2SbAu, optimized geometry
# V = 25.1 A^3/atom
# magnetization = 0.00 Bohr magnetons per cell
# uncorrected energy = -3.20 eV/atom
# crystal system = orthorhombic
data_In2SbAu
_chemical_formula_sum 'In4 Sb2 Au2'
_cell_length_a 4.4179
_cell_length_b 5.2344
_cell_length_c 8.6750
_cell_angle_alpha 90.00
_cell_angle_beta 90.00
_cell_angle_gamma 90.00
_symmetry_space_group_name_H-M 'C m m 2'
_symmetry_Int_Tables_number 35
_symmetry_space_group_name_Hall 'C 2 -2'
loop_
_atom_site_label
_atom_site_fract_x
_atom_site_fract_y
_atom_site_fract_z
_atom_site_occupancy
In1 0.0000 0.0000 0.0000 1
In2 0.0000 0.5000 0.2833 1
Sb1 0.0000 0.0000 0.5694 1
Au1 0.0000 0.5000 0.7907 1

---

No. 6
# PBE Ni2SbOs, optimized geometry
# V = 14.1 A^3/atom
# magnetization = 0.01 Bohr magnetons per cell
# uncorrected energy = -6.41 eV/atom
# crystal system = tetragonal
data_Ni2SbOs
_chemical_formula_sum 'Ni4 Sb2 Os2'
_cell_length_a 3.8841
_cell_length_b 3.8841
_cell_length_c 7.4825
_cell_angle_alpha 90.00
_cell_angle_beta 90.00
_cell_angle_gamma 90.00
_symmetry_space_group_name_H-M 'I 4/m m m'
_symmetry_Int_Tables_number 139
_symmetry_space_group_name_Hall '-I 4 2'
loop_
_atom_site_label
_atom_site_fract_x
_atom_site_fract_y
_atom_site_fract_z
_atom_site_occupancy
Ni1 0.0000 0.5000 0.2500 1
Sb1 0.0000 0.0000 0.0000 1
Os1 0.0000 0.0000 0.5000 1